A plane-wave DFT calculation with PBE-GGA was carried out for a relaxed structure of HoEr4Ru5.

a b c (Å): 3.3754 3.3754 16.8405
angles (deg): 90.00 90.00 90.00
Space group P4/mmm (No. 123)
Inequivalent atoms, fractional coordinates:
Ho1 0.0000 0.0000 0.0000 [1 per cell]
Er1 0.0000 0.0000 0.2005 [2 per cell]
Er2 0.0000 0.0000 0.4002 [2 per cell]
Ru1 0.5000 0.5000 0.1007 [2 per cell]
Ru2 0.5000 0.5000 0.3004 [2 per cell]
Ru3 0.5000 0.5000 0.5000 [1 per cell]

Properties
For the calculated total energy, the calculation gives -0.536 Ry per atom. The density of states at the Fermi level comes out at 13.47 states/eV/f.u.

***

A plane-wave DFT calculation with PBE-GGA was carried out for a relaxed structure of HoEr5Ru3.

a b c (Å): 12.1810 8.9497 9.8588
angles (deg): 90.00 112.66 90.00
Space group C2/m (No. 12)
Inequivalent atoms, fractional coordinates:
Ho1 0.1015 0.0000 0.3000 [4 per cell]
Er1 0.0000 0.3011 0.0000 [4 per cell]
Er2 0.0674 0.5000 0.3678 [4 per cell]
Er3 0.1660 0.1993 0.6675 [8 per cell]
Er4 0.2328 0.0000 0.0336 [4 per cell]
Ru1 0.0000 0.0000 0.0000 [2 per cell]
Ru2 0.0000 0.0000 0.5000 [2 per cell]
Ru3 0.1654 0.5000 0.6673 [4 per cell]
Ru4 0.1670 0.5000 0.1668 [4 per cell]

Properties
For the calculated total energy, the calculation gives -0.468 Ry per atom. The density of states at the Fermi level comes out at 2.47 states/eV/f.u.

***

A plane-wave DFT calculation with PBE-GGA was carried out for a relaxed structure of HoEr3Ru2.

a b c (Å): 6.6654 13.4000 6.9551
angles (deg): 90.00 90.00 90.00
Space group Ibam (No. 72)
Inequivalent atoms, fractional coordinates:
Ho1 0.0000 0.0000 0.0000 [4 per cell]
Er1 0.0000 0.2353 0.2500 [8 per cell]
Er2 0.0000 0.5000 0.2500 [4 per cell]
Ru1 0.2207 0.3654 0.0000 [8 per cell]

Properties
For the calculated total energy, the calculation gives -0.470 Ry per atom. The density of states at the Fermi level comes out at 2.25 states/eV/f.u.

***

A plane-wave DFT calculation with PBE-GGA was carried out for a relaxed structure of Ho3Er2Ru3.

a b c (Å): 3.4439 5.0687 20.4651
angles (deg): 90.00 90.00 90.00
Space group Immm (No. 71)
Inequivalent atoms, fractional coordinates:
Ho1 0.0000 0.0000 0.0000 [2 per cell]
Ho2 0.0000 0.5000 0.1109 [4 per cell]
Er1 0.0000 0.0000 0.2191 [4 per cell]
Ru1 0.0000 0.0000 0.5000 [2 per cell]
Ru2 0.0000 0.5000 0.3847 [4 per cell]

Properties
For the calculated total energy, the calculation gives -0.489 Ry per atom. The density of states at the Fermi level comes out at 4.18 states/eV/f.u.

***

A plane-wave DFT calculation with PBE-GGA was carried out for a relaxed structure of Ho3ErRu8.

a b c (Å): 9.1967 5.3116 9.2530
angles (deg): 90.00 109.50 90.00
Space group Cm (No. 8)
Inequivalent atoms, fractional coordinates:
Ho1 0.0000 0.0000 0.0000 [2 per cell]
Ho2 0.0001 0.5000 0.5002 [2 per cell]
Ho3 0.3752 0.0000 0.1253 [2 per cell]
Er1 0.3753 0.5000 0.6255 [2 per cell]
Ru1 0.1874 0.2503 0.8124 [4 per cell]
Ru2 0.1878 0.0000 0.5632 [2 per cell]
Ru3 0.1878 0.2501 0.3132 [4 per cell]
Ru4 0.1878 0.5000 0.0631 [2 per cell]
Ru5 0.4378 0.0000 0.8124 [2 per cell]
Ru6 0.4378 0.5000 0.3132 [2 per cell]

Properties
For the calculated total energy, the calculation gives -0.590 Ry per atom. The density of states at the Fermi level comes out at 14.83 states/eV/f.u.

***

A plane-wave DFT calculation with PBE-GGA was carried out for a relaxed structure of Ho2ErRu2.

a b c (Å): 5.4275 4.3900 10.1119
angles (deg): 90.00 97.68 90.00
Space group P2_1/m (No. 11)
Inequivalent atoms, fractional coordinates:
Ho1 0.1125 0.2500 0.3852 [2 per cell]
Ho2 0.2477 0.2500 0.0274 [2 per cell]
Er1 0.4228 0.2500 0.7171 [2 per cell]
Ru1 0.2522 0.7500 0.8471 [2 per cell]
Ru2 0.3629 0.7500 0.5451 [2 per cell]

Properties
For the calculated total energy, the calculation gives -0.493 Ry per atom. The density of states at the Fermi level comes out at 3.85 states/eV/f.u.